PaMn2SiO6 | GGA+U | relaxed

Results
As for the crystal system: tetragonal. For the total energy, the calculation gives -8.186 eV per atom. Its spin magnetization is 10.9 μB/f.u.

CIF file:
```
data_PaMn2SiO6
_chemical_formula_sum 'Pa1 Mn2 Si1 O6'
_cell_length_a 5.297
_cell_length_b 5.297
_cell_length_c 4.738
_cell_angle_alpha 90.00
_cell_angle_beta 90.00
_cell_angle_gamma 90.00
_space_group_name_H-M_alt 'P 4 m m'
_space_group_IT_number 99
_space_group_name_Hall 'P 4 -2'
loop_
_atom_site_label
_atom_site_type_symbol
_atom_site_fract_x
_atom_site_fract_y
_atom_site_fract_z
Pa1 Pa 0.000 0.000 0.000
Mn1 Mn 0.000 0.500 0.431
Si1 Si 0.500 0.500 0.044
O1 O 0.000 0.000 0.555
O2 O 0.275 0.275 0.160
O3 O 0.500 0.500 0.698
```